(1)
First-principles (PBE-GGA) data for an optimized crystal structure of HoEr2Ga3Cu2Ni, as listed in OQMD via LeMat-Bulk.

```
data_HoEr2Ga3Cu2Ni
_chemical_formula_sum 'Ho1 Er2 Ga3 Cu2 Ni1'
_symmetry_space_group_name_H-M 'P 1'
_symmetry_Int_Tables_number 1
_cell_length_a 3.905
_cell_length_b 6.942
_cell_length_c 6.942
_cell_angle_alpha 119.99
_cell_angle_beta 90.00
_cell_angle_gamma 90.00
loop_
_symmetry_equiv_pos_as_xyz
'x,y,z'
loop_
_atom_site_label
_atom_site_fract_x
_atom_site_fract_y
_atom_site_fract_z
Ho1 0.000 0.000 0.000
Er1 0.000 0.176 0.588
Er2 0.000 0.588 0.176
Ga1 0.500 0.354 0.354
Ga2 0.500 0.588 0.822
Ga3 0.500 0.822 0.588
Cu1 0.500 0.255 0.921
Cu2 0.500 0.921 0.255
Ni1 0.000 0.587 0.587
```

**Space group**: Amm2 (38)
**Volume**: 18.11 Å³/atom
**Total energy**: -40.7 eV per formula unit

=====

(2)
First-principles (PBE-GGA) data for an optimized crystal structure of ErGa2CuIr4, as listed in OQMD via LeMat-Bulk.

```
data_ErGa2CuIr4
_chemical_formula_sum 'Er1 Ga2 Cu1 Ir4'
_symmetry_space_group_name_H-M 'P 1'
_symmetry_Int_Tables_number 1
_cell_length_a 4.381
_cell_length_b 4.381
_cell_length_c 6.318
_cell_angle_alpha 90.00
_cell_angle_beta 90.00
_cell_angle_gamma 90.00
loop_
_symmetry_equiv_pos_as_xyz
'x,y,z'
loop_
_atom_site_label
_atom_site_fract_x
_atom_site_fract_y
_atom_site_fract_z
Er1 0.000 0.000 0.000
Ga1 0.000 0.000 0.500
Ga2 0.500 0.500 0.000
Cu1 0.500 0.500 0.500
Ir1 0.000 0.500 0.273
Ir2 0.000 0.500 0.727
Ir3 0.500 0.000 0.273
Ir4 0.500 0.000 0.727
```

**Space group**: P4/mmm (123)
**Volume**: 15.16 Å³/atom
**Total energy**: -52.9 eV per formula unit

=====

(3)
First-principles (PBE-GGA) data for an optimized crystal structure of Er2Ga4CuNi, as listed in OQMD via LeMat-Bulk.

```
data_Er2Ga4CuNi
_chemical_formula_sum 'Er2 Ga4 Cu1 Ni1'
_symmetry_space_group_name_H-M 'P 1'
_symmetry_Int_Tables_number 1
_cell_length_a 6.601
_cell_length_b 5.410
_cell_length_c 5.410
_cell_angle_alpha 45.68
_cell_angle_beta 90.00
_cell_angle_gamma 90.00
loop_
_symmetry_equiv_pos_as_xyz
'x,y,z'
loop_
_atom_site_label
_atom_site_fract_x
_atom_site_fract_y
_atom_site_fract_z
Er1 0.000 0.000 0.000
Er2 0.500 0.155 0.155
Ga1 0.200 0.714 0.714
Ga2 0.305 0.443 0.443
Ga3 0.695 0.443 0.443
Ga4 0.800 0.714 0.714
Cu1 0.000 0.287 0.287
Ni1 0.500 0.871 0.871
```

**Space group**: Amm2 (38)
**Volume**: 17.28 Å³/atom
**Total energy**: -35.2 eV per formula unit

=====

(4)
First-principles (PBE-GGA) data for an optimized crystal structure of Er2TmGa3Cu2Ni, as listed in OQMD via LeMat-Bulk.

```
data_Er2TmGa3Cu2Ni
_chemical_formula_sum 'Er2 Tm1 Ga3 Cu2 Ni1'
_symmetry_space_group_name_H-M 'P 1'
_symmetry_Int_Tables_number 1
_cell_length_a 3.965
_cell_length_b 6.878
_cell_length_c 6.878
_cell_angle_alpha 119.98
_cell_angle_beta 90.00
_cell_angle_gamma 90.00
loop_
_symmetry_equiv_pos_as_xyz
'x,y,z'
loop_
_atom_site_label
_atom_site_fract_x
_atom_site_fract_y
_atom_site_fract_z
Er1 0.000 0.205 0.795
Er2 0.000 0.795 0.205
Tm1 0.000 0.386 0.386
Ga1 0.500 0.033 0.033
Ga2 0.500 0.557 0.795
Ga3 0.500 0.795 0.557
Cu1 0.500 0.129 0.461
Cu2 0.500 0.461 0.129
Ni1 0.000 0.794 0.794
```

**Space group**: Amm2 (38)
**Volume**: 18.05 Å³/atom
**Total energy**: -40.6 eV per formula unit

=====

(5)
First-principles (PBE-GGA) data for an optimized crystal structure of Er2Ga4CuPt, as listed in OQMD via LeMat-Bulk.

```
data_Er2Ga4CuPt
_chemical_formula_sum 'Er2 Ga4 Cu1 Pt1'
_symmetry_space_group_name_H-M 'P 1'
_symmetry_Int_Tables_number 1
_cell_length_a 6.595
_cell_length_b 5.475
_cell_length_c 5.475
_cell_angle_alpha 46.48
_cell_angle_beta 90.00
_cell_angle_gamma 90.00
loop_
_symmetry_equiv_pos_as_xyz
'x,y,z'
loop_
_atom_site_label
_atom_site_fract_x
_atom_site_fract_y
_atom_site_fract_z
Er1 0.000 0.000 0.000
Er2 0.500 0.169 0.169
Ga1 0.194 0.712 0.712
Ga2 0.298 0.455 0.455
Ga3 0.702 0.455 0.455
Ga4 0.806 0.712 0.712
Cu1 0.000 0.288 0.288
Pt1 0.500 0.880 0.880
```

**Space group**: Amm2 (38)
**Volume**: 17.92 Å³/atom
**Total energy**: -36.8 eV per formula unit

=====

(6)
First-principles (PBE-GGA) data for an optimized crystal structure of ErTm2Ga4Cu, as listed in OQMD via LeMat-Bulk.

```
data_ErTm2Ga4Cu
_chemical_formula_sum 'Er1 Tm2 Ga4 Cu1'
_symmetry_space_group_name_H-M 'P 1'
_symmetry_Int_Tables_number 1
_cell_length_a 6.386
_cell_length_b 7.003
_cell_length_c 7.003
_cell_angle_alpha 32.51
_cell_angle_beta 90.00
_cell_angle_gamma 90.00
loop_
_symmetry_equiv_pos_as_xyz
'x,y,z'
loop_
_atom_site_label
_atom_site_fract_x
_atom_site_fract_y
_atom_site_fract_z
Er1 0.000 0.000 0.000
Tm1 0.000 0.267 0.267
Tm2 0.500 0.810 0.810
Ga1 0.244 0.633 0.633
Ga2 0.303 0.441 0.441
Ga3 0.697 0.441 0.441
Ga4 0.756 0.633 0.633
Cu1 0.500 0.072 0.072
```

**Space group**: Amm2 (38)
**Volume**: 21.04 Å³/atom
**Total energy**: -32.6 eV per formula unit

=====

(7)
First-principles (PBE-GGA) data for an optimized crystal structure of ErTmGa2Cu4, as listed in OQMD via LeMat-Bulk.

```
data_ErTmGa2Cu4
_chemical_formula_sum 'Er1 Tm1 Ga2 Cu4'
_symmetry_space_group_name_H-M 'P 1'
_symmetry_Int_Tables_number 1
_cell_length_a 4.249
_cell_length_b 4.249
_cell_length_c 8.532
_cell_angle_alpha 90.00
_cell_angle_beta 90.00
_cell_angle_gamma 120.00
loop_
_symmetry_equiv_pos_as_xyz
'x,y,z'
loop_
_atom_site_label
_atom_site_fract_x
_atom_site_fract_y
_atom_site_fract_z
Er1 0.000 0.000 0.000
Tm1 0.667 0.333 0.500
Ga1 0.333 0.667 0.251
Ga2 0.333 0.667 0.749
Cu1 0.000 0.000 0.332
Cu2 0.000 0.000 0.668
Cu3 0.667 0.333 0.170
Cu4 0.667 0.333 0.830
```

**Space group**: P-6m2 (187)
**Volume**: 16.68 Å³/atom
**Total energy**: -33.0 eV per formula unit

=====

(8)
First-principles (PBE-GGA) data for an optimized crystal structure of YErGa2Cu2, as listed in OQMD via LeMat-Bulk.

```
data_YErGa2Cu2
_chemical_formula_sum 'Y1 Er1 Ga2 Cu2'
_symmetry_space_group_name_H-M 'P 1'
_symmetry_Int_Tables_number 1
_cell_length_a 4.354
_cell_length_b 4.354
_cell_length_c 6.967
_cell_angle_alpha 90.00
_cell_angle_beta 90.00
_cell_angle_gamma 120.00
loop_
_symmetry_equiv_pos_as_xyz
'x,y,z'
loop_
_atom_site_label
_atom_site_fract_x
_atom_site_fract_y
_atom_site_fract_z
Y1 0.000 0.000 0.000
Er1 0.000 0.000 0.500
Ga1 0.333 0.667 0.270
Ga2 0.333 0.667 0.730
Cu1 0.667 0.333 0.252
Cu2 0.667 0.333 0.748
```

**Space group**: P-6m2 (187)
**Volume**: 19.07 Å³/atom
**Total energy**: -27.6 eV per formula unit

=====

(9)
First-principles (PBE-GGA) data for an optimized crystal structure of Er2Zn3GaCu2, as listed in OQMD via LeMat-Bulk.

```
data_Er2Zn3GaCu2
_chemical_formula_sum 'Er2 Zn3 Ga1 Cu2'
_symmetry_space_group_name_H-M 'P 1'
_symmetry_Int_Tables_number 1
_cell_length_a 5.239
_cell_length_b 5.239
_cell_length_c 6.867
_cell_angle_alpha 90.58
_cell_angle_beta 90.58
_cell_angle_gamma 47.04
loop_
_symmetry_equiv_pos_as_xyz
'x,y,z'
loop_
_atom_site_label
_atom_site_fract_x
_atom_site_fract_y
_atom_site_fract_z
Er1 0.000 0.000 0.000
Er2 0.155 0.155 0.498
Zn1 0.442 0.442 0.306
Zn2 0.709 0.709 0.810
Zn3 0.715 0.715 0.195
Ga1 0.444 0.444 0.695
Cu1 0.293 0.293 0.996
Cu2 0.864 0.864 0.509
```

**Space group**: Cm (8)
**Volume**: 17.24 Å³/atom
**Total energy**: -26.4 eV per formula unit

=====

(10)
First-principles (PBE-GGA) data for an optimized crystal structure of ErZrGa2Cu2, as listed in OQMD via LeMat-Bulk.

```
data_ErZrGa2Cu2
_chemical_formula_sum 'Er1 Zr1 Ga2 Cu2'
_symmetry_space_group_name_H-M 'P 1'
_symmetry_Int_Tables_number 1
_cell_length_a 4.285
_cell_length_b 4.285
_cell_length_c 6.720
_cell_angle_alpha 90.00
_cell_angle_beta 90.00
_cell_angle_gamma 120.00
loop_
_symmetry_equiv_pos_as_xyz
'x,y,z'
loop_
_atom_site_label
_atom_site_fract_x
_atom_site_fract_y
_atom_site_fract_z
Er1 0.000 0.000 0.000
Zr1 0.000 0.000 0.500
Ga1 0.333 0.667 0.270
Ga2 0.333 0.667 0.730
Cu1 0.667 0.333 0.287
Cu2 0.667 0.333 0.713
```

**Space group**: P-6m2 (187)
**Volume**: 17.81 Å³/atom
**Total energy**: -29.5 eV per formula unit

=====

(11)
First-principles (PBE-GGA) data for an optimized crystal structure of ErZrGa2Cu2, as listed in OQMD via LeMat-Bulk.

```
data_ErZrGa2Cu2
_chemical_formula_sum 'Er1 Zr1 Ga2 Cu2'
_symmetry_space_group_name_H-M 'P 1'
_symmetry_Int_Tables_number 1
_cell_length_a 4.298
_cell_length_b 4.298
_cell_length_c 6.728
_cell_angle_alpha 90.00
_cell_angle_beta 90.00
_cell_angle_gamma 120.00
loop_
_symmetry_equiv_pos_as_xyz
'x,y,z'
loop_
_atom_site_label
_atom_site_fract_x
_atom_site_fract_y
_atom_site_fract_z
Er1 0.000 0.000 0.000
Zr1 0.000 0.000 0.500
Ga1 0.333 0.667 0.274
Ga2 0.333 0.667 0.726
Cu1 0.667 0.333 0.276
Cu2 0.667 0.333 0.724
```

**Space group**: P-6m2 (187)
**Volume**: 17.94 Å³/atom
**Total energy**: -29.5 eV per formula unit

=====

(12)
First-principles (PBE-GGA) data for an optimized crystal structure of GdErCu2, as listed in OQMD via LeMat-Bulk.

```
data_GdErCu2
_chemical_formula_sum 'Gd2 Er2 Cu4'
_symmetry_space_group_name_H-M 'P 1'
_symmetry_Int_Tables_number 1
_cell_length_a 4.436
_cell_length_b 5.393
_cell_length_c 7.094
_cell_angle_alpha 90.00
_cell_angle_beta 90.00
_cell_angle_gamma 90.00
loop_
_symmetry_equiv_pos_as_xyz
'x,y,z'
loop_
_atom_site_label
_atom_site_fract_x
_atom_site_fract_y
_atom_site_fract_z
Gd1 0.000 0.119 0.000
Gd2 0.000 0.881 0.500
Er1 0.500 0.382 0.638
Er2 0.500 0.618 0.138
Cu1 0.000 0.377 0.356
Cu2 0.000 0.623 0.856
Cu3 0.500 0.128 0.285
Cu4 0.500 0.872 0.785
```

**Space group**: Pmc2_1 (26)
**Volume**: 21.21 Å³/atom
**Formation enthalpy at 0 K**: -259 meV/atom